VASP calculation (GGA-PBE) on a relaxed Sr2ThHg6 crystal. Values from VASP.

Calculated values
ΔE_f = -0.38 eV per atom

The structure in Quantum ESPRESSO input format:
```
&SYSTEM
  ibrav = 0, nat = 9, ntyp = 3
/
ATOMIC_SPECIES
Hg 200.59 Hg.upf
Th 232.04 Th.upf
Sr 87.62 Sr.upf
ATOMIC_POSITIONS crystal
Hg 0.500 0.000 0.667
Hg 0.500 0.667 0.000
Th 0.000 0.000 0.000
Hg 0.500 0.667 0.667
Hg 0.500 0.000 0.333
Hg 0.500 0.333 0.333
Sr 0.000 0.667 0.333
Sr 0.000 0.333 0.667
Hg 0.500 0.333 0.000
CELL_PARAMETERS angstrom
3.567 0.000 0.000
0.000 7.696 -4.443
0.000 0.000 8.887
```